Entry 1:
La2SmDy5Th: relaxed, PBE-GGA.

```
La2SmDy5Th
1.0
2.831 -9.947 0.000
2.831 9.947 0.000
0.000 0.000 10.952
La Sm Dy Th
4 2 10 2
direct
0.114 0.886 0.500
0.117 0.883 0.086
0.883 0.117 0.586
0.886 0.114 0.000
0.203 0.797 0.774
0.797 0.203 0.274
0.015 0.985 0.795
0.283 0.717 0.075
0.299 0.701 0.474
0.394 0.606 0.788
0.480 0.520 0.504
0.520 0.480 0.004
0.606 0.394 0.288
0.701 0.299 0.974
0.717 0.283 0.575
0.985 0.015 0.295
0.418 0.582 0.227
0.582 0.418 0.727
```

* formation energy from the elements: 141 kJ/mol of formula units

***

Entry 2:
LiNi2Rh: relaxed, PBE-GGA.

```
LiNi2Rh
1.0
-1.819 1.819 3.592
1.819 -1.819 3.592
1.819 1.819 -3.592
Li Ni Rh
1 2 1
direct
0.000 0.000 0.000
0.250 0.750 0.500
0.500 0.500 0.000
0.750 0.250 0.500
```

* formation energy from the elements: -1 kJ/mol of formula units

***

Entry 3:
FePtRhAu: relaxed, PBE-GGA.

```
FePtRhAu
1.0
0.000 3.136 3.136
3.136 0.000 3.136
3.136 3.136 0.000
Fe Pt Rh Au
1 1 1 1
direct
0.000 0.000 0.000
0.750 0.750 0.750
0.250 0.250 0.250
0.500 0.500 0.500
```

* formation energy from the elements: 26 kJ/mol of formula units

***

Entry 4:
Ba2NaCdPt: relaxed, PBE-GGA.

```
Ba2NaCdPt
1.0
6.193 0.000 0.000
0.000 6.193 0.000
0.000 0.000 5.382
Ba Na Cd Pt
2 1 1 1
direct
0.000 0.500 0.000
0.500 0.000 0.000
0.000 0.000 0.500
0.500 0.500 0.500
0.500 0.500 0.000
```

* polymorph energy (0 for the lowest one): 0.00 kJ per mole of atoms
* formation energy from the elements: -185 kJ/mol of formula units

***

Entry 5:
ZrZn2BW: relaxed, PBE-GGA.

```
ZrZn2BW
1.0
4.893 0.000 0.000
0.000 4.893 0.000
0.000 0.000 4.916
Zr Zn B W
1 2 1 1
direct
0.000 0.000 0.000
0.000 0.500 0.500
0.500 0.000 0.500
0.500 0.500 0.000
0.000 0.000 0.500
```

* formation energy from the elements: 835 kJ/mol of formula units

***

Entry 6:
CoBiI2: relaxed, PBE-GGA.

```
CoBiI2
1.0
1.953 1.128 9.323
-1.953 1.128 9.323
0.000 -2.255 9.323
Co Bi I
1 1 2
direct
0.000 0.000 0.000
0.500 0.500 0.500
0.387 0.387 0.387
0.613 0.613 0.613
```

* formation energy (no corrections): 156 meV per atom
* polymorph energy (0 for the lowest one): 0.00 kJ per mole of atoms